No. 1
The following is a DFT calculation (PBE) of a relaxed structure of TcMoPt14.

Magnetization: 0.0 Bohr magnetons per cell

abc: 5.6104 5.6104 7.8977
angles: 90.00 90.00 90.00
Atoms (fractional coordinates):
1 Tc 0.3750 0.3750 0.5000
2 Pt 0.6248 0.6248 0.7420
3 Pt 0.1251 0.6249 0.7420
4 Pt 0.3750 0.8750 0.0000
5 Pt 0.8750 0.8750 0.0000
6 Pt 0.8750 0.3750 0.0000
7 Pt 0.6249 0.1251 0.7420
8 Pt 0.3750 0.8750 0.5000
9 Pt 0.3750 0.3750 0.0000
10 Pt 0.1252 0.1252 0.2580
11 Pt 0.6249 0.1251 0.2580
12 Pt 0.8750 0.3750 0.5000
13 Pt 0.6248 0.6248 0.2580
14 Pt 0.1251 0.6249 0.2580
15 Pt 0.1252 0.1252 0.7420
16 Mo 0.8750 0.8750 0.5000

=====

No. 2
The following is a DFT calculation (PBE) of a relaxed structure of TcMo2Pt.

Energy above the lowest structure with this stoichiometry: 0.083 eV/atom
Magnetization: 0.0 Bohr magnetons per cell

abc: 4.8356 4.8356 4.8372
angles: 131.87 131.88 70.40
Atoms (fractional coordinates):
1 Mo 0.0000 0.0000 0.0000
2 Mo 0.7500 0.2500 0.5000
3 Pt 0.5000 0.5000 0.0000
4 Tc 0.2500 0.7500 0.5000

=====

No. 3
The following is a DFT calculation (PBE) of a relaxed structure of TcMo2Pt.

Energy above the lowest structure with this stoichiometry: 0.000 eV/atom
Magnetization: 0.0 Bohr magnetons per cell

abc: 3.9499 3.9499 3.9202
angles: 90.00 90.00 90.00
Atoms (fractional coordinates):
1 Pt 0.5000 0.0000 0.5000
2 Tc 0.0000 0.5000 0.5000
3 Mo 0.0000 0.0000 0.0000
4 Mo 0.5000 0.5000 0.0000

=====

No. 4
The following is a DFT calculation (PBE) of a relaxed structure of TcMoPt.

Energy above the lowest structure with this stoichiometry: 0.014 eV/atom
Magnetization: 0.0 Bohr magnetons per cell

abc: 6.2659 6.2659 2.7749
angles: 77.21 77.21 25.59
Atoms (fractional coordinates):
1 Tc 0.6634 0.6634 0.3366
2 Mo 0.0041 0.0041 0.9959
3 Pt 0.3324 0.3324 0.6676

=====

No. 5
The following is a DFT calculation (PBE) of a relaxed structure of TcMoPt.

Energy above the lowest structure with this stoichiometry: 0.101 eV/atom
Magnetization: 0.0 Bohr magnetons per cell

abc: 2.7629 2.7629 6.9392
angles: 90.00 90.00 120.00
Atoms (fractional coordinates):
1 Tc 0.3333 0.6667 0.6686
2 Mo 0.0000 0.0000 0.9973
3 Pt 0.6667 0.3333 0.3340

=====

No. 6
The following is a DFT calculation (PBE) of a relaxed structure of TcMoPt4.

Energy above the lowest structure with this stoichiometry: 0.516 eV/atom
Magnetization: 0.7 Bohr magnetons per cell

abc: 5.1757 5.1757 5.1757
angles: 60.00 60.00 60.00
Atoms (fractional coordinates):
1 Pt 0.3750 0.3750 0.8749
2 Pt 0.3750 0.3750 0.3750
3 Pt 0.8749 0.3750 0.3750
4 Pt 0.3750 0.8749 0.3750
5 Tc 0.7500 0.7500 0.7500
6 Mo 0.0000 0.0000 0.0000

=====

Number 1: ΔE_f -131.6 meV/atom. Number 2: ΔE_f -86.1 meV/atom. Number 3: ΔE_f -169.4 meV/atom. Number 4: ΔE_f -92.4 meV/atom. Number 5: ΔE_f -5.4 meV/atom. Number 6: ΔE_f 258.7 meV/atom.